A geometry-optimized ScSi structure, computed with PBE.

Summary:
**Crystal system**: trigonal
**Energy relative to the elements, uncorrected**: -0.31 eV per atom

a = 4.4578 Å, b = 4.4578 Å, c = 14.0696 Å
α = 90.00°, β = 90.00°, γ = 120.00°
Last column: nearest neighbours and their distance in Å.
Space group P-3m1 (No. 164)
Asymmetric unit:
Sc 0.0000 0.0000 0.2287  7 Si 2.70-2.91
Sc 0.3333 0.6667 0.0700  4 Si 2.72-2.84
Sc 0.3333 0.6667 0.4151  3 Si 2.57
Si 0.0000 0.0000 0.4203  1 Si 2.24
Si 0.3333 0.6667 0.6901  1 Si 2.51
Si 0.3333 0.6667 0.8685  1 Si 2.51, 3 Sc 2.72

A geometry-optimized Sc2Si structure, computed with PBE.

Summary:
**Crystal system**: tetragonal
**Energy relative to the elements, uncorrected**: -0.32 eV per atom

a = 4.5349 Å, b = 4.5349 Å, c = 3.2147 Å
α = 90.00°, β = 90.00°, γ = 90.00°
Last column: nearest neighbours and their distance in Å.
Space group P4/mmm (No. 123)
Asymmetric unit:
Sc 0.0000 0.5000 0.0000  4 Si 2.78
Si 0.0000 0.0000 0.5000  8 Sc 2.78

A geometry-optimized ScSi structure, computed with PBE.

Summary:
**Crystal system**: orthorhombic
**Energy relative to the elements, uncorrected**: -0.66 eV per atom

a = 3.6315 Å, b = 4.1061 Å, c = 9.5285 Å
α = 90.00°, β = 90.00°, γ = 90.00°
Last column: nearest neighbours and their distance in Å.
Space group Imma (No. 74)
Asymmetric unit:
Sc 0.0000 0.2500 0.1201  6 Si 2.76-2.99, 4 Sc 3.07-3.08
Si 0.0000 0.2500 0.6512  2 Si 2.62, 4 Sc 2.76

A geometry-optimized Sc5Si6 structure, computed with PBE.

Summary:
**Crystal system**: orthorhombic
**Energy relative to the elements, uncorrected**: -0.73 eV per atom

a = 3.7094 Å, b = 26.8586 Å, c = 3.9267 Å
α = 90.00°, β = 90.00°, γ = 90.00°
Last column: nearest neighbours and their distance in Å.
Space group Cmmm (No. 65)
Asymmetric unit:
Sc 0.0000 0.0000 0.0000  12 Si 2.93-3.28
Sc 0.0000 0.1986 0.5000  7 Si 2.71-2.93
Sc 0.0000 0.3839 0.0000  7 Si 2.75-2.80
Si 0.0000 0.0976 0.5000  2 Si 2.38
Si 0.0000 0.2797 0.0000  2 Si 2.45
Si 0.0000 0.4576 0.5000  3 Si 2.28-2.38

A geometry-optimized Sc2Si structure, computed with PBE.

Summary:
**Crystal system**: orthorhombic
**Energy relative to the elements, uncorrected**: -0.22 eV per atom

a = 3.1632 Å, b = 15.2377 Å, c = 5.4615 Å
α = 90.00°, β = 90.00°, γ = 90.00°
Last column: nearest neighbours and their distance in Å.
Space group Cmcm (No. 63)
Asymmetric unit:
Sc 0.0000 0.0507 0.2500  2 Si 2.65
Sc 0.0000 0.3346 0.2500  4 Si 2.70-2.76
Si 0.0000 0.3094 0.7500  6 Sc 2.65-2.76

A geometry-optimized ScSi structure, computed with PBE.

Summary:
**Crystal system**: hexagonal
**Energy relative to the elements, uncorrected**: -0.40 eV per atom

a = 3.3153 Å, b = 3.3153 Å, c = 8.0843 Å
α = 90.00°, β = 90.00°, γ = 120.00°
Last column: nearest neighbours and their distance in Å.
Space group P6_3/mmc (No. 194)
Asymmetric unit:
Sc 0.0000 0.0000 0.0000  6 Si 2.78
Si 0.3333 0.6667 0.2500  6 Sc 2.78

A geometry-optimized ScSi3 structure, computed with PBE.

Summary:
**Crystal system**: cubic
**Energy relative to the elements, uncorrected**: -0.19 eV per atom

a = 3.9694 Å, b = 3.9694 Å, c = 3.9694 Å
α = 90.00°, β = 90.00°, γ = 90.00°
Last column: nearest neighbours and their distance in Å.
Space group Pm-3m (No. 221)
Asymmetric unit:
Sc 0.0000 0.0000 0.0000  12 Si 2.81
Si 0.0000 0.5000 0.5000  4 Sc 2.81, 8 Si 2.81

A geometry-optimized Sc2Si structure, computed with PBE.

Summary:
**Crystal system**: orthorhombic
**Energy relative to the elements, uncorrected**: -0.53 eV per atom

a = 4.2007 Å, b = 5.9180 Å, c = 9.7430 Å
α = 90.00°, β = 90.00°, γ = 90.00°
Last column: nearest neighbours and their distance in Å.
Space group Immm (No. 71)
Asymmetric unit:
Sc 0.0000 0.0000 0.1908  4 Si 2.68-3.00
Sc 0.0000 0.2400 0.5000  2 Sc 2.84-3.08, 4 Si 2.87
Si 0.0000 0.5000 0.1377  1 Si 2.68, 8 Sc 2.68-3.00